VASP calculation (PBE) on CdSn2S6 after structural relaxation.

Computed properties:
formation energy (no corrections) = -0.0304 eV/atom
space-group type = P4_2/mnm, No. 136
magnetic moment = 0.01 μB/f.u.

abc: 6.1612 6.1612 11.5930
angles: 90.00 90.00 90.00
Last column: nearest neighbours and their distance in Å.
Sites, in units of the cell vectors:
Cd 0.0000 0.0000 0.0000  6 S 2.63-2.70
Cd 0.5000 0.5000 0.5000  6 S 2.63-2.70
Sn 0.0000 0.0000 0.3344  6 S 2.53-2.64
Sn 0.0000 0.0000 0.6656  6 S 2.53-2.64
Sn 0.5000 0.5000 0.1656  6 S 2.53-2.64
Sn 0.5000 0.5000 0.8344  6 S 2.53-2.64
S 0.1896 0.1896 0.5000  2 Sn 2.53, 1 Cd 2.70
S 0.1970 0.1970 0.1716  2 Sn 2.55-2.64, 1 Cd 2.63
S 0.1970 0.1970 0.8284  2 Sn 2.55-2.64, 1 Cd 2.63
S 0.3030 0.6970 0.3284  2 Sn 2.55-2.64, 1 Cd 2.63
S 0.3030 0.6970 0.6716  2 Sn 2.55-2.64, 1 Cd 2.63
S 0.3104 0.6896 0.0000  2 Sn 2.53, 1 Cd 2.70
S 0.6896 0.3104 0.0000  2 Sn 2.53, 1 Cd 2.70
S 0.6970 0.3030 0.3284  2 Sn 2.55-2.64, 1 Cd 2.63
S 0.6970 0.3030 0.6716  2 Sn 2.55-2.64, 1 Cd 2.63
S 0.8030 0.8030 0.1716  2 Sn 2.55-2.64, 1 Cd 2.63
S 0.8030 0.8030 0.8284  2 Sn 2.55-2.64, 1 Cd 2.63
S 0.8104 0.8104 0.5000  2 Sn 2.53, 1 Cd 2.70